No. 1
A geometry-optimized LiLa2PO structure, computed with PBE-GGA.

abc: 4.988 4.988 3.935
angles: 90.00 90.00 90.00
Atoms (fractional coordinates):
Li (0.000, 0.000, 0.000)
La (0.000, 0.500, 0.500)
La (0.500, 0.000, 0.500)
P (0.500, 0.500, 0.000)
O (0.000, 0.000, 0.500)

## Properties
space-group type = P4/mmm
formation energy from raw total energies = -1.67 eV per atom
theoretical density = 5.63 g cm⁻³
total magnetization = 0.00 μB per formula unit
N(E_F) = 2.5 states/eV/f.u.
total DFT energy (no corrections) = -6.10 eV per atom

No. 2
A geometry-optimized DyY7Er12 structure, computed with PBE-GGA.

abc: 9.674 9.674 9.674
angles: 109.47 109.47 109.47
Atoms (fractional coordinates):
Dy (0.000, 0.000, 0.000)
Y (0.000, 0.000, 0.500)
Y (0.000, 0.500, 0.000)
Y (0.000, 0.500, 0.500)
Y (0.500, 0.000, 0.000)
Y (0.500, 0.000, 0.500)
Y (0.500, 0.500, 0.000)
Y (0.500, 0.500, 0.500)
Er (0.000, 0.249, 0.751)
Er (0.000, 0.751, 0.249)
Er (0.249, 0.000, 0.751)
Er (0.249, 0.249, 0.497)
Er (0.249, 0.497, 0.249)
Er (0.249, 0.751, 0.000)
Er (0.497, 0.249, 0.249)
Er (0.503, 0.751, 0.751)
Er (0.751, 0.000, 0.249)
Er (0.751, 0.249, 0.000)
Er (0.751, 0.503, 0.751)
Er (0.751, 0.751, 0.503)

## Properties
space-group type = Im-3m
ΔH_f (0 K) = 72.3 kJ/mol of atoms
theoretical density = 6.65 g cm⁻³
total magnetization = 0.00 μB per formula unit
energy above the lowest structure with this stoichiometry = 0.4371 eV per atom
N(E_F) = 25.5 states/eV/f.u.
total DFT energy (no corrections) = -4.48 eV per atom

No. 3
A geometry-optimized Ac2GaCu6Pt structure, computed with PBE-GGA.

abc: 5.011 6.614 6.838
angles: 80.48 68.60 67.88
Atoms (fractional coordinates):
Ac (0.230, 0.223, 0.315)
Ac (0.770, 0.777, 0.685)
Ga (0.000, 0.000, 0.000)
Cu (0.231, 0.259, 0.782)
Cu (0.254, 0.572, 0.922)
Cu (0.273, 0.741, 0.218)
Cu (0.727, 0.259, 0.782)
Cu (0.746, 0.428, 0.078)
Cu (0.769, 0.741, 0.218)
Pt (0.500, 0.500, 0.500)

## Properties
space-group type = P-1
ΔH_f (0 K) = -28.7 kJ/mol of atoms
theoretical density = 9.35 g cm⁻³
total magnetization = 0.00 μB per formula unit
N(E_F) = 5.7 states/eV/f.u.
total DFT energy (no corrections) = -4.48 eV per atom

No. 4
A geometry-optimized Na2SrMgP2O8 structure, computed with PBE-GGA.

abc: 5.316 5.316 13.715
angles: 90.17 90.17 60.40
Atoms (fractional coordinates):
Na (0.141, 0.192, 0.092)
Na (0.192, 0.141, 0.592)
Na (0.808, 0.859, 0.408)
Na (0.859, 0.808, 0.908)
Sr (0.439, 0.561, 0.250)
Sr (0.561, 0.439, 0.750)
Mg (0.500, 0.500, 0.000)
Mg (0.500, 0.500, 0.500)
P (0.147, 0.189, 0.369)
P (0.189, 0.147, 0.869)
P (0.811, 0.853, 0.131)
P (0.853, 0.811, 0.631)
O (0.105, 0.689, 0.076)
O (0.133, 0.210, 0.759)
O (0.183, 0.671, 0.610)
O (0.210, 0.133, 0.259)
O (0.257, 0.393, 0.408)
O (0.311, 0.895, 0.424)
O (0.329, 0.817, 0.890)
O (0.393, 0.257, 0.908)
O (0.607, 0.743, 0.092)
O (0.671, 0.183, 0.110)
O (0.689, 0.105, 0.576)
O (0.743, 0.607, 0.592)
O (0.790, 0.867, 0.741)
O (0.817, 0.329, 0.390)
O (0.867, 0.790, 0.241)
O (0.895, 0.311, 0.924)

## Properties
space-group type = C2/c
formation energy from raw total energies = -2.57 eV per atom
theoretical density = 3.43 g cm⁻³
total magnetization = 0.00 μB per formula unit
N(E_F) = 0.0 states/eV/f.u.
total DFT energy (no corrections) = -6.60 eV per atom

No. 5
A geometry-optimized TcIr2Ru structure, computed with PBE-GGA.

abc: 4.717 2.718 4.742
angles: 90.00 109.44 90.00
Atoms (fractional coordinates):
Tc (0.000, 0.000, 0.000)
Ir (0.000, 0.500, 0.500)
Ir (0.500, 0.000, 0.500)
Ru (0.500, 0.500, 0.000)

## Properties
space-group type = P2/m
ΔH_f (0 K) = -6.9 kJ/mol of atoms
theoretical density = 16.90 g cm⁻³
total magnetization = 0.00 μB per formula unit
energy above the lowest structure with this stoichiometry = 0.0958 eV per atom
N(E_F) = 3.6 states/eV/f.u.
total DFT energy (no corrections) = -9.41 eV per atom